First-principles (GGA-PBE) data for a relaxed Zn3SnO3 crystal, as listed in the Alexandria database.

a b c (Å): 5.847 5.847 5.847
angles (deg): 90.00 90.00 90.00
Positions (direct):
1 Zn 0.000 0.250 0.500
2 Zn 0.000 0.750 0.500
3 Zn 0.250 0.500 0.000
4 Zn 0.500 0.000 0.250
5 Zn 0.500 0.000 0.750
6 Zn 0.750 0.500 0.000
7 Sn 0.000 0.000 0.000
8 Sn 0.500 0.500 0.500
9 O 0.000 0.500 0.250
10 O 0.000 0.500 0.750
11 O 0.250 0.000 0.500
12 O 0.500 0.250 0.000
13 O 0.500 0.750 0.000
14 O 0.750 0.000 0.500

Results
As for the density of states at the Fermi level: 2.5 states/eV per cell. The calculation puts the volume at 199.9 Å³ per cell.

First-principles (GGA-PBE) data for a relaxed ZnSn4O9 crystal, as listed in the Alexandria database.

a b c (Å): 8.103 8.103 5.151
angles (deg): 90.00 90.00 90.00
Positions (direct):
1 Zn 0.250 0.250 0.231
2 Zn 0.750 0.750 0.769
3 Sn 0.041 0.639 0.230
4 Sn 0.139 0.959 0.770
5 Sn 0.361 0.541 0.770
6 Sn 0.459 0.861 0.230
7 Sn 0.541 0.139 0.770
8 Sn 0.639 0.459 0.230
9 Sn 0.861 0.041 0.230
10 Sn 0.959 0.361 0.770
11 O 0.002 0.167 0.518
12 O 0.053 0.149 0.009
13 O 0.149 0.447 0.009
14 O 0.167 0.498 0.518
15 O 0.250 0.750 0.000
16 O 0.333 0.002 0.518
17 O 0.351 0.053 0.009
18 O 0.447 0.351 0.009
19 O 0.498 0.333 0.518
20 O 0.502 0.667 0.482
21 O 0.553 0.649 0.991
22 O 0.649 0.947 0.991
23 O 0.667 0.998 0.482
24 O 0.750 0.250 0.000
25 O 0.833 0.502 0.482
26 O 0.851 0.553 0.991
27 O 0.947 0.851 0.991
28 O 0.998 0.833 0.482

Results
As for the density of states at the Fermi level: 6.4 states/eV per cell. The calculation puts the volume at 338.2 Å³ per cell.

First-principles (GGA-PBE) data for a relaxed ZnSn2O4 crystal, as listed in the Alexandria database.

a b c (Å): 3.233 7.597 9.392
angles (deg): 81.10 80.12 77.72
Positions (direct):
1 Zn 0.000 0.000 0.000
2 Zn 0.344 0.236 0.074
3 Sn 0.015 0.605 0.360
4 Sn 0.237 0.905 0.618
5 Sn 0.524 0.280 0.668
6 Sn 0.743 0.590 0.922
7 O 0.014 0.410 0.558
8 O 0.058 0.113 0.768
9 O 0.136 0.735 0.991
10 O 0.361 0.441 0.835
11 O 0.399 0.748 0.450
12 O 0.698 0.069 0.532
13 O 0.751 0.768 0.726
14 O 0.755 0.392 0.096

Results
The calculation puts the volume at 220.4 Å³ per cell.

First-principles (GGA-PBE) data for a relaxed ZnSn2O4 crystal, as listed in the Alexandria database.

a b c (Å): 11.504 3.326 10.198
angles (deg): 90.00 90.00 90.00
Positions (direct):
1 Zn 0.236 0.250 0.192
2 Zn 0.264 0.750 0.692
3 Zn 0.736 0.250 0.308
4 Zn 0.764 0.750 0.808
5 Sn 0.092 0.250 0.403
6 Sn 0.107 0.250 0.930
7 Sn 0.393 0.750 0.430
8 Sn 0.408 0.750 0.903
9 Sn 0.592 0.250 0.097
10 Sn 0.607 0.250 0.570
11 Sn 0.893 0.750 0.070
12 Sn 0.908 0.750 0.597
13 O 0.024 0.250 0.598
14 O 0.075 0.750 0.069
15 O 0.125 0.750 0.808
16 O 0.226 0.750 0.506
17 O 0.274 0.250 0.006
18 O 0.375 0.250 0.308
19 O 0.425 0.250 0.569
20 O 0.476 0.750 0.098
21 O 0.524 0.250 0.902
22 O 0.575 0.750 0.431
23 O 0.625 0.750 0.692
24 O 0.726 0.750 0.994
25 O 0.774 0.250 0.494
26 O 0.875 0.250 0.192
27 O 0.925 0.250 0.931
28 O 0.976 0.750 0.402

Results
The calculation puts the volume at 390.2 Å³ per cell.

DFT total energy: -4.081 -5.820 -5.511 -5.441 (eV per atom)